A relaxed structure of NpIBr3. Source: Alexandria, functional GGA-PBE.

Output
- total energy (eV/atom) = -4.984
- mass density (kg/m³) = 4579

Cell lengths 10.3982, 4.2648, 9.8724 Å; angles 90.00, 90.00, 90.00 degrees
Closest atoms and distances in Å follow each position.
Space group Pmma (No. 51)
Asymmetric unit:
Np  0.2500  0.0000  0.2349 x2  5 Br 2.66-2.86, 1 I 2.91
I  0.2500  0.0000  0.5292 x2  1 Np 2.91
Br  0.0669  0.5000  0.2368 x4  2 Np 2.86
Br  0.2500  0.0000  0.9656 x2  1 Np 2.66

A relaxed structure of Ba2ZnInRh. Source: Alexandria, functional GGA-PBE.

Output
- ΔE to the lowest computed polymorph (eV per atom) = 0.0274
- mass density (kg/m³) = 5248
- ΔE_f (eV/atom) = -0.157

Cell lengths 6.0262, 6.0262, 4.8600 Å; angles 90.00, 90.00, 90.00 degrees
Closest atoms and distances in Å follow each position.
Space group P4/mmm (No. 123)
Asymmetric unit:
Ba  0.0000  0.5000  0.0000 x2  2 Rh 3.01
Zn  0.0000  0.0000  0.5000 x1  2 Rh 2.43
In  0.5000  0.5000  0.5000 x1  8 Ba 3.87, 4 Zn 4.26
Rh  0.0000  0.0000  0.0000 x1  2 Zn 2.43

A relaxed structure of RbSi2Ru. Source: Alexandria, functional GGA-PBE.

Output
- ΔE to the lowest computed polymorph (eV per atom) = 0.0000
- mass density (kg/m³) = 3256

Cell lengths 6.2093, 6.2093, 12.8425 Å; angles 90.00, 90.00, 90.00 degrees
Closest atoms and distances in Å follow each position.
Space group I4_1/amd (No. 141, origin choice 2)
Asymmetric unit:
Rb  0.0000  0.2500  0.3750 x4  8 Si 3.82
Si  0.0000  0.0000  0.0000 x8  2 Ru 2.23
Ru  0.0000  0.2500  0.8750 x4  4 Si 2.23

> Number 2 is which compound?

Ba2ZnInRh